No. 1
DFT (PBE-GGA) results for a relaxed TlHF3 crystal.

Cell and atoms, written as POSCAR:
```
TlHF3
1.0
4.382 0.000 0.000
0.000 4.382 0.000
0.000 0.000 4.382
Tl H F
1 1 3
Direct
0.000 0.000 0.000
0.500 0.500 0.500
0.000 0.000 0.500
0.000 0.500 0.000
0.500 0.000 0.000
```

Output
- Crystal system: cubic
- Calculated total energy: -3.24 eV/atom
- N(E_F): 0.383 states/eV per atom
- Energy relative to the lowest polymorph listed for this composition: 746 meV/atom

---

No. 2
DFT (PBE-GGA) results for a relaxed Tl5H2F4 crystal.

Cell and atoms, written as POSCAR:
```
Tl5H2F4
1.0
6.960 -2.046 0.000
6.960 2.046 0.000
-2.587 0.000 9.257
Tl H F
5 2 4
Direct
0.000 0.000 0.000
0.315 0.315 0.157
0.376 0.376 0.547
0.624 0.624 0.453
0.685 0.685 0.843
0.176 0.176 0.921
0.824 0.824 0.079
0.216 0.216 0.613
0.496 0.496 0.189
0.504 0.504 0.811
0.784 0.784 0.387
```

Output
- Crystal system: monoclinic
- Calculated total energy: -3.40 eV/atom
- N(E_F): 0.076 states/eV per atom

---

No. 3
DFT (PBE-GGA) results for a relaxed Tl2HF3 crystal.

Cell and atoms, written as POSCAR:
```
Tl2HF3
1.0
7.033 -2.300 0.000
7.033 2.300 0.000
-1.763 0.000 7.995
Tl H F
4 2 6
Direct
0.150 0.152 0.088
0.152 0.150 0.588
0.848 0.850 0.412
0.850 0.848 0.912
0.341 0.659 0.750
0.659 0.341 0.250
0.255 0.265 0.380
0.265 0.255 0.880
0.454 0.546 0.250
0.546 0.454 0.750
0.735 0.745 0.120
0.745 0.735 0.620
```

Output
- Crystal system: monoclinic
- Calculated total energy: -3.92 eV/atom
- N(E_F): 0.000 states/eV per atom
- Energy relative to the lowest polymorph listed for this composition: 121 meV/atom

---

No. 4
DFT (PBE-GGA) results for a relaxed TlH6F12 crystal.

Cell and atoms, written as POSCAR:
```
TlH6F12
1.0
6.037 3.485 1.999
-6.037 3.485 1.999
0.000 -6.971 1.999
Tl H F
1 6 12
Direct
0.000 0.000 0.000
0.010 0.187 0.439
0.187 0.439 0.010
0.439 0.010 0.187
0.561 0.990 0.813
0.813 0.561 0.990
0.990 0.813 0.561
0.059 0.899 0.466
0.075 0.266 0.354
0.101 0.534 0.941
0.266 0.354 0.075
0.354 0.075 0.266
0.466 0.059 0.899
0.534 0.941 0.101
0.646 0.925 0.734
0.734 0.646 0.925
0.899 0.466 0.059
0.925 0.734 0.646
0.941 0.101 0.534
```

Output
- Crystal system: trigonal
- Calculated total energy: -3.64 eV/atom

---

No. 5
DFT (PBE-GGA) results for a relaxed UTlH2F8 crystal.

Cell and atoms, written as POSCAR:
```
UTlH2F8
1.0
5.030 0.000 0.000
-1.591 4.776 0.000
-0.465 -1.379 8.359
U Tl H F
1 1 2 8
Direct
0.000 0.000 0.000
0.000 0.000 0.500
0.458 0.663 0.685
0.542 0.337 0.315
0.221 0.193 0.824
0.241 0.739 0.994
0.280 0.265 0.204
0.308 0.633 0.598
0.692 0.367 0.402
0.720 0.735 0.796
0.759 0.261 0.006
0.779 0.807 0.176
```

Output
- Crystal system: triclinic
- Calculated total energy: -5.58 eV/atom

---

No. 6
DFT (PBE-GGA) results for a relaxed Y2TlHF crystal.

Cell and atoms, written as POSCAR:
```
Y2TlHF
1.0
4.846 0.000 0.000
0.000 4.846 0.000
0.000 0.000 4.917
Y Tl H F
2 1 1 1
Direct
0.000 0.500 0.000
0.500 0.000 0.000
0.000 0.000 0.500
0.500 0.500 0.500
0.000 0.000 0.000
```

Output
- Crystal system: tetragonal
- Calculated total energy: -4.39 eV/atom
- N(E_F): 1.167 states/eV per atom

---

No. 7
DFT (PBE-GGA) results for a relaxed TlZnHF2 crystal.

Cell and atoms, written as POSCAR:
```
TlZnHF2
1.0
4.843 0.000 0.000
0.000 4.843 0.000
0.000 0.000 3.669
Tl Zn H F
1 1 1 2
Direct
0.000 0.000 0.000
0.500 0.500 0.500
0.000 0.000 0.500
0.000 0.500 0.000
0.500 0.000 0.000
```

Output
- Crystal system: tetragonal
- Calculated total energy: -2.85 eV/atom
- N(E_F): 0.209 states/eV per atom

---

No. 8
DFT (PBE-GGA) results for a relaxed ZrTl2HF6 crystal.

Cell and atoms, written as POSCAR:
```
ZrTl2HF6
1.0
4.577 -4.576 0.000
4.577 4.576 0.000
-4.558 0.000 4.593
Zr Tl H F
1 2 1 6
Direct
0.000 0.000 0.000
0.251 0.749 0.500
0.749 0.251 0.500
0.500 0.500 0.000
0.221 0.221 0.444
0.223 0.223 0.000
0.223 0.777 0.000
0.777 0.223 0.000
0.777 0.777 0.000
0.779 0.779 0.556
```

Output
- Crystal system: monoclinic
- Calculated total energy: -5.12 eV/atom
- N(E_F): 0.000 states/eV per atom

---

No. 9
DFT (PBE-GGA) results for a relaxed ZrTlHF2 crystal.

Cell and atoms, written as POSCAR:
```
ZrTlHF2
1.0
4.366 0.000 0.000
0.000 4.366 0.000
0.000 0.000 6.148
Zr Tl H F
1 1 1 2
Direct
0.000 0.000 0.000
0.000 0.000 0.500
0.500 0.500 0.000
0.000 0.500 0.500
0.500 0.000 0.500
```

Output
- Crystal system: tetragonal
- Calculated total energy: -3.65 eV/atom
- N(E_F): 0.620 states/eV per atom

---

No. 10
DFT (PBE-GGA) results for a relaxed Tm2HF crystal.

Cell and atoms, written as POSCAR:
```
Tm2HF
1.0
1.777 1.026 7.046
-1.777 1.026 7.046
0.000 -2.052 7.046
Tm H F
2 1 1
Direct
0.101 0.101 0.101
0.899 0.899 0.899
0.500 0.500 0.500
0.000 0.000 0.000
```

Output
- Crystal system: trigonal
- Calculated total energy: -4.88 eV/atom
- N(E_F): 0.172 states/eV per atom

---

No. 11
DFT (PBE-GGA) results for a relaxed UHF6 crystal.

Cell and atoms, written as POSCAR:
```
UHF6
1.0
2.689 -4.510 0.000
2.689 4.510 0.000
-0.942 0.000 4.992
U H F
1 1 6
Direct
0.000 0.000 0.000
0.500 0.500 0.500
0.016 0.704 0.221
0.296 0.984 0.779
0.367 0.367 0.296
0.633 0.633 0.704
0.704 0.016 0.221
0.984 0.296 0.779
```

Output
- Crystal system: monoclinic
- Calculated total energy: -6.25 eV/atom

---

No. 12
DFT (PBE-GGA) results for a relaxed UH2F8 crystal.

Cell and atoms, written as POSCAR:
```
UH2F8
1.0
5.265 -3.018 0.000
5.265 3.018 0.000
-1.780 0.000 5.074
U H F
1 2 8
Direct
0.000 0.000 0.000
0.382 0.382 0.475
0.618 0.618 0.525
0.120 0.120 0.777
0.126 0.648 0.763
0.352 0.874 0.237
0.374 0.374 0.295
0.626 0.626 0.705
0.648 0.126 0.763
0.874 0.352 0.237
0.880 0.880 0.223
```

Output
- Crystal system: monoclinic
- Calculated total energy: -5.65 eV/atom
- N(E_F): 0.000 states/eV per atom
- Energy relative to the lowest polymorph listed for this composition: 0 meV/atom